(1)
A geometry-optimized Ta2TcRh structure. Source: Alexandria via LeMat-Bulk, functional GGA-PBE.

The structure belongs to space group R3m (No. 160, hexagonal axes); the cell edges are 2.8288, 2.8288 and 28.4743 Å and the angles 90.00°, 90.00° and 120.00°. The distinct sites, in fractional coordinates, are Ta at (0.0000, 0.0000, 0.0000), Ta at (0.0000, 0.0000, 0.2416), Tc at (0.0000, 0.0000, 0.7515) and Rh at (0.0000, 0.0000, 0.4946).

Its energy above the most stable polymorph in this dataset is 460 meV/atom.

(2)
A geometry-optimized Ta2TcRh structure. Source: Alexandria via LeMat-Bulk, functional GGA-PBE.

The structure belongs to space group C2/m (No. 12); the cell edges are 5.749, 8.537 and 2.799 Å and the angles 90.00°, 108.67° and 90.00°. The distinct sites, in fractional coordinates, are Ta at (0.250, 0.250, 0.000), Tc at (0.000, 0.000, 0.500) and Rh at (0.000, 0.500, 0.500).

Its energy above the most stable polymorph in this dataset is 180 meV/atom.

(3)
A geometry-optimized Ta4TcRh structure. Source: Alexandria via LeMat-Bulk, functional GGA-PBE.

The structure belongs to space group F-43m (No. 216); the cell edges are 7.521, 7.521 and 7.521 Å and the angles 90.00°, 90.00° and 90.00°. The distinct sites, in fractional coordinates, are Ta at (0.124, 0.124, 0.124), Tc at (0.250, 0.250, 0.750) and Rh at (0.000, 0.000, 0.500).

(4)
A geometry-optimized TaTc2Rh2 structure. Source: Alexandria via LeMat-Bulk, functional GGA-PBE.

The structure belongs to space group P4/mbm (No. 127); the cell edges are 7.490, 7.490 and 2.765 Å and the angles 90.00°, 90.00° and 90.00°. The distinct sites, in fractional coordinates, are Ta at (0.000, 0.000, 0.000), Tc at (0.120, 0.380, 0.000) and Rh at (0.175, 0.675, 0.500).

Its energy above the most stable polymorph in this dataset is 17 meV/atom.

(5)
A geometry-optimized TaTcRh structure. Source: Alexandria via LeMat-Bulk, functional GGA-PBE.

The structure belongs to space group P-6m2 (No. 187); the cell edges are 4.4703, 4.4703 and 2.7252 Å and the angles 90.00°, 90.00° and 120.00°. The distinct sites, in fractional coordinates, are Ta at (0.0000, 0.0000, 0.0000), Tc at (0.6667, 0.3333, 0.5000) and Rh at (0.3333, 0.6667, 0.0000).

Its energy above the most stable polymorph in this dataset is 183 meV/atom.

(6)
A geometry-optimized Ta2TcRh structure. Source: Alexandria via LeMat-Bulk, functional GGA-PBE.

The structure belongs to space group P4/mmm (No. 123); the cell edges are 3.226, 3.226 and 6.241 Å and the angles 90.00°, 90.00° and 90.00°. The distinct sites, in fractional coordinates, are Ta at (0.000, 0.000, 0.245), Tc at (0.500, 0.500, 0.000) and Rh at (0.500, 0.500, 0.500).

Its energy above the most stable polymorph in this dataset is 0 meV/atom.

no.,energy (eV per atom),calculated formation energy (eV per atom)
1,-10.29,0.07
2,-10.57,-0.21
3,-10.48,0.37
4,-9.44,0.02
5,-9.96,-0.10
6,-10.75,-0.39